Computed, not measured: a relaxed structure of Li2Dy3Rh7 at the PBE-GGA level of DFT.

Output
DFT formation energy, eV/atom: -0.55
Crystal system: trigonal

Unit cell a=5.3270 b=5.3270 c=24.9590 alpha=90.00 beta=90.00 gamma=120.00
Space group R-3m (No. 166, hexagonal axes)
Asymmetric unit:
Li 0.0000 0.0000 0.1643 x6
Dy 0.0000 0.0000 0.3593 x6
Dy 0.0000 0.0000 0.5000 x3
Rh 0.0000 0.0000 0.0000 x3
Rh 0.0050 0.5025 0.4177 x18